Material: PaCoSiRu
Method: DFT, PBE-GGA
State: optimized geometry

Cell: 3.531 4.385 4.646 Å, 90.00 90.00 90.00°
Positions (direct):
Pa1 0.500 0.500 0.500
Co1 0.000 0.500 0.000
Si1 0.000 0.000 0.000
Ru1 0.000 0.000 0.500

***

Material: Tb2ReTe
Method: DFT, PBE-GGA
State: optimized geometry

Cell: 3.242 3.242 10.931 Å, 81.47 81.47 60.00°
Site moments in Bohr magnetons follow the coordinates.
Positions (direct):
Re1 0.000 0.000 0.000  0.32
Te1 0.500 0.500 0.500  -0.01
Tb1 0.085 0.085 0.746  0.00
Tb2 0.915 0.915 0.254  0.00

***

Computed raw total energy, in the same sequence as the records: -0.5893, -0.4143 Ry per atom.
Computed V, in the same sequence as the records: 18.0, 24.5 Å³ per atom.